# 1
First-principles (GGA-PBE) data for a relaxed structure of NdHo4Ag, as listed in Alexandria.

abc: 5.4231 15.4167 8.8466
angles: 90.00 90.00 90.00
Space group Cmc2_1 (No. 36)
Unique sites:
Nd (0.0000, 0.1309, 0.0000) [4 per cell]
Ho (0.0000, 0.0951, 0.6139) [4 per cell]
Ho (0.0000, 0.2690, 0.3250) [4 per cell]
Ho (0.0000, 0.3325, 0.6861) [4 per cell]
Ho (0.0000, 0.4829, 0.3719) [4 per cell]
Ag (0.0000, 0.3324, 0.0177) [4 per cell]

Summary:
DOS at the Fermi energy: 1.34 states/eV/atom
Calculated formation energy: 139.3 meV per atom
E_tot: -100.377 eV for the cell shown
Density: 8.19 g cm⁻³
Offset from the most stable computed form: 125 kJ/mol of formula units

# 2
First-principles (GGA-PBE) data for a relaxed structure of Nd2Ho3Ag2, as listed in Alexandria.

abc: 9.3742 5.4163 8.4063
angles: 90.00 111.88 90.00
Space group C2/m (No. 12)
Unique sites:
Nd (0.0760, 0.0000, 0.2272) [4 per cell]
Ho (0.0000, 0.5000, 0.5000) [2 per cell]
Ho (0.1613, 0.5000, 0.9838) [4 per cell]
Ag (0.2120, 0.0000, 0.6386) [4 per cell]

Summary:
DOS at the Fermi energy: 0.87 states/eV/atom
Calculated formation energy: -99.0 meV per atom
E_tot: -59.328 eV for the cell shown
Density: 8.38 g cm⁻³

# 3
First-principles (GGA-PBE) data for a relaxed structure of NdHo2Ag4, as listed in Alexandria.

abc: 7.3349 7.3349 6.9443
angles: 90.00 90.00 90.00
Space group I4/mmm (No. 139)
Unique sites:
Nd (0.0000, 0.0000, 0.0000) [2 per cell]
Ho (0.0000, 0.5000, 0.0000) [4 per cell]
Ag (0.2500, 0.2500, 0.2500) [8 per cell]

Summary:
DOS at the Fermi energy: 0.67 states/eV/atom
Calculated formation energy: -76.1 meV per atom
E_tot: -51.722 eV for the cell shown
Density: 8.05 g cm⁻³

# 4
First-principles (GGA-PBE) data for a relaxed structure of NdHo4Ag, as listed in Alexandria.

abc: 3.5693 3.5693 13.8637
angles: 90.00 90.00 90.00
Space group P4/mmm (No. 123)
Unique sites:
Nd (0.0000, 0.0000, 0.0000) [1 per cell]
Ho (0.0000, 0.0000, 0.3646) [2 per cell]
Ho (0.5000, 0.5000, 0.1839) [2 per cell]
Ag (0.5000, 0.5000, 0.5000) [1 per cell]

Summary:
DOS at the Fermi energy: 1.32 states/eV/atom
Calculated formation energy: -76.8 meV per atom
E_tot: -26.391 eV for the cell shown
Density: 8.57 g cm⁻³
Offset from the most stable computed form: 0 kJ/mol of formula units

Q: Among the records above, which one has the lowest DOS at the Fermi energy?
A: NdHo2Ag4

Q: What is the formula in the first record?
A: NdHo4Ag

Q: calculated formation energy of number 4 (NdHo4Ag)?
A: -76.8 meV per atom

Please write out number 1 again, unchanged.
First-principles (GGA-PBE) data for a relaxed structure of NdHo4Ag, as listed in Alexandria.

abc: 5.4231 15.4167 8.8466
angles: 90.00 90.00 90.00
Space group Cmc2_1 (No. 36)
Unique sites:
Nd (0.0000, 0.1309, 0.0000) [4 per cell]
Ho (0.0000, 0.0951, 0.6139) [4 per cell]
Ho (0.0000, 0.2690, 0.3250) [4 per cell]
Ho (0.0000, 0.3325, 0.6861) [4 per cell]
Ho (0.0000, 0.4829, 0.3719) [4 per cell]
Ag (0.0000, 0.3324, 0.0177) [4 per cell]

Summary:
DOS at the Fermi energy: 1.34 states/eV/atom
Calculated formation energy: 139.3 meV per atom
E_tot: -100.377 eV for the cell shown
Density: 8.19 g cm⁻³
Offset from the most stable computed form: 125 kJ/mol of formula units